(1)
Computed, not measured: LaOsRh2 after structural relaxation at the PBE-GGA level of DFT.

As for the size of the total moment: 0.00 μB per cell. The energy above the lowest structure with this stoichiometry is 142.3 meV/atom. For the energy, the calculation gives -7.55 eV/atom.

The structure belongs to space group I-4m2 (No. 119); the cell edges are 4.146, 4.146 and 8.265 Å and the angles 90.00°, 90.00° and 90.00°. The asymmetric unit holds La at (0.000, 0.000, 0.000), Os at (0.000, 0.500, 0.750), Rh at (0.000, 0.000, 0.500) and Rh at (0.000, 0.500, 0.250).

***

(2)
Computed, not measured: LaOsRh3 after structural relaxation at the PBE-GGA level of DFT.

As for the size of the total moment: 0.00 μB per cell. The energy above the lowest structure with this stoichiometry is 0.0 meV/atom. For the energy, the calculation gives -7.29 eV/atom.

The structure belongs to space group Pm-3m (No. 221); the cell edges are 4.775, 4.775 and 4.775 Å and the angles 90.00°, 90.00° and 90.00°. The asymmetric unit holds La at (0.000, 0.000, 0.000), Os at (0.500, 0.500, 0.500) and Rh at (0.000, 0.500, 0.500).

***

(3)
Computed, not measured: La2Os2Rh after structural relaxation at the PBE-GGA level of DFT.

As for the size of the total moment: 0.00 μB per cell. For the energy, the calculation gives -7.94 eV/atom.

The structure belongs to space group P4/mbm (No. 127); the cell edges are 6.938, 6.938 and 4.581 Å and the angles 90.00°, 90.00° and 90.00°. The asymmetric unit holds La at (0.187, 0.313, 0.000), Os at (0.122, 0.622, 0.500) and Rh at (0.000, 0.000, 0.500).

***

(4)
Computed, not measured: LaOsRh2 after structural relaxation at the PBE-GGA level of DFT.

As for the size of the total moment: 0.01 μB per cell. The energy above the lowest structure with this stoichiometry is 0.0 meV/atom. For the energy, the calculation gives -7.70 eV/atom.

The structure belongs to space group Cmmm (No. 65); the cell edges are 5.897, 8.004 and 2.931 Å and the angles 90.00°, 90.00° and 90.00°. The asymmetric unit holds La at (0.000, 0.000, 0.000), Os at (0.000, 0.500, 0.000) and Rh at (0.250, 0.250, 0.500).

***

(5)
Computed, not measured: LaOsRh3 after structural relaxation at the PBE-GGA level of DFT.

As for the size of the total moment: 3.37 μB per cell. The energy above the lowest structure with this stoichiometry is 1473.2 meV/atom. For the energy, the calculation gives -5.82 eV/atom.

The structure belongs to space group Pm-3m (No. 221); the cell edges are 4.803, 4.803 and 4.803 Å and the angles 90.00°, 90.00° and 90.00°. The asymmetric unit holds La at (0.000, 0.000, 0.000), Os at (0.500, 0.500, 0.500) and Rh at (0.000, 0.000, 0.500).

***

(6)
Computed, not measured: LaOsRh2 after structural relaxation at the PBE-GGA level of DFT.

As for the size of the total moment: 0.00 μB per cell. The energy above the lowest structure with this stoichiometry is 68.4 meV/atom. For the energy, the calculation gives -7.63 eV/atom.

The structure belongs to space group P4/mmm (No. 123); the cell edges are 2.902, 2.902 and 8.335 Å and the angles 90.00°, 90.00° and 90.00°. The asymmetric unit holds La at (0.000, 0.000, 0.000), Os at (0.000, 0.000, 0.500) and Rh at (0.500, 0.500, 0.293).

***

(7)
Computed, not measured: LaOsRh2 after structural relaxation at the PBE-GGA level of DFT.

As for the size of the total moment: 1.55 μB per cell. The energy above the lowest structure with this stoichiometry is 442.4 meV/atom. For the energy, the calculation gives -7.25 eV/atom.

The structure belongs to space group R3m (No. 160, hexagonal axes); the cell edges are 2.8616, 2.8616 and 29.2078 Å and the angles 90.00°, 90.00° and 120.00°. The asymmetric unit holds La at (0.0000, 0.0000, 0.0000), Os at (0.0000, 0.0000, 0.7635), Rh at (0.0000, 0.0000, 0.2437) and Rh at (0.0000, 0.0000, 0.5007).

***

(8)
Computed, not measured: LaOsRh4 after structural relaxation at the PBE-GGA level of DFT.

As for the size of the total moment: 8.01 μB per cell. For the energy, the calculation gives -7.43 eV/atom.

The structure belongs to space group F-43m (No. 216); the cell edges are 7.445, 7.445 and 7.445 Å and the angles 90.00°, 90.00° and 90.00°. The asymmetric unit holds La at (0.000, 0.000, 0.000), Os at (0.250, 0.250, 0.750) and Rh at (0.124, 0.124, 0.376).

***

(9)
Computed, not measured: LaOsRh2 after structural relaxation at the PBE-GGA level of DFT.

As for the size of the total moment: 0.00 μB per cell. The energy above the lowest structure with this stoichiometry is 106.1 meV/atom. For the energy, the calculation gives -7.59 eV/atom.

The structure belongs to space group Imm2 (No. 44); the cell edges are 2.908, 4.760 and 10.333 Å and the angles 90.00°, 90.00° and 90.00°. The asymmetric unit holds La at (0.000, 0.000, 0.000), Os at (0.000, 0.500, 0.226), Rh at (0.000, 0.000, 0.509) and Rh at (0.000, 0.500, 0.774).

***

(10)
Computed, not measured: La2OsRh2 after structural relaxation at the PBE-GGA level of DFT.

As for the size of the total moment: 0.78 μB per cell. For the energy, the calculation gives -7.39 eV/atom.

The structure belongs to space group P4/mbm (No. 127); the cell edges are 7.002, 7.002 and 4.416 Å and the angles 90.00°, 90.00° and 90.00°. The asymmetric unit holds La at (0.183, 0.317, 0.000), Os at (0.000, 0.000, 0.500) and Rh at (0.135, 0.635, 0.500).

***

(11)
Computed, not measured: La8OsRh3 after structural relaxation at the PBE-GGA level of DFT.

As for the size of the total moment: 0.00 μB per cell. For the energy, the calculation gives -6.50 eV/atom.

The structure belongs to space group Cm (No. 8); the cell edges are 14.356, 8.704 and 6.355 Å and the angles 90.00°, 107.85° and 90.00°. The asymmetric unit holds La at (0.000, 0.000, 0.000), La at (0.001, 0.500, 0.995), La at (0.044, 0.244, 0.545), La at (0.255, 0.500, 0.555), La at (0.260, 0.000, 0.559), La at (0.300, 0.254, 0.114), Os at (0.417, 0.500, 0.379), Rh at (0.381, 0.250, 0.727) and Rh at (0.421, 0.000, 0.373).

***

(12)
Computed, not measured: LaOsRh2 after structural relaxation at the PBE-GGA level of DFT.

As for the size of the total moment: 0.00 μB per cell. The energy above the lowest structure with this stoichiometry is 113.1 meV/atom. For the energy, the calculation gives -7.58 eV/atom.

The structure belongs to space group Immm (No. 71); the cell edges are 4.151, 4.314 and 7.976 Å and the angles 90.00°, 90.00° and 90.00°. The asymmetric unit holds La at (0.000, 0.000, 0.000), Os at (0.000, 0.000, 0.500) and Rh at (0.000, 0.500, 0.246).

***

(13)
Computed, not measured: La6OsRh3 after structural relaxation at the PBE-GGA level of DFT.

As for the size of the total moment: 0.00 μB per cell. For the energy, the calculation gives -6.78 eV/atom.

The structure belongs to space group P2_1/c (No. 14); the cell edges are 7.123, 7.670 and 12.628 Å and the angles 90.00°, 123.85° and 90.00°. The asymmetric unit holds La at (0.083, 0.072, 0.248), La at (0.246, 0.679, 0.076), La at (0.399, 0.173, 0.073), Os at (0.000, 0.000, 0.000), Rh at (0.279, 0.098, 0.750) and Rh at (0.500, 0.000, 0.500).

***

(14)
Computed, not measured: La3OsRh after structural relaxation at the PBE-GGA level of DFT.

As for the size of the total moment: 0.00 μB per cell. The energy above the lowest structure with this stoichiometry is 0.0 meV/atom. For the energy, the calculation gives -6.51 eV/atom.

The structure belongs to space group Pm-3m (No. 221); the cell edges are 5.464, 5.464 and 5.464 Å and the angles 90.00°, 90.00° and 90.00°. The asymmetric unit holds La at (0.000, 0.000, 0.500), Os at (0.000, 0.000, 0.000) and Rh at (0.500, 0.500, 0.500).

***

(15)
Computed, not measured: La8OsRh2 after structural relaxation at the PBE-GGA level of DFT.

As for the size of the total moment: 0.00 μB per cell. For the energy, the calculation gives -6.28 eV/atom.

The structure belongs to space group C2/m (No. 12); the cell edges are 19.241, 4.071 and 9.034 Å and the angles 90.00°, 93.51° and 90.00°. The asymmetric unit holds La at (0.010, 0.000, 0.212), La at (0.100, 0.500, 0.541), La at (0.149, 0.500, 0.967), La at (0.224, 0.000, 0.337), Os at (0.000, 0.500, 0.000) and Rh at (0.166, 0.000, 0.724).

***

(16)
Computed, not measured: LaOsRh2 after structural relaxation at the PBE-GGA level of DFT.

As for the size of the total moment: 0.00 μB per cell. The energy above the lowest structure with this stoichiometry is 57.0 meV/atom. For the energy, the calculation gives -7.64 eV/atom.

The structure belongs to space group Pmm2 (No. 25); the cell edges are 2.866, 3.950 and 6.448 Å and the angles 90.00°, 90.00° and 90.00°. The asymmetric unit holds La at (0.000, 0.000, 0.000), Os at (0.500, 0.500, 0.325), Rh at (0.000, 0.000, 0.481) and Rh at (0.500, 0.500, 0.722).

***

(17)
Computed, not measured: LaOs2Rh2 after structural relaxation at the PBE-GGA level of DFT.

As for the size of the total moment: 0.00 μB per cell. The energy above the lowest structure with this stoichiometry is 0.0 meV/atom. For the energy, the calculation gives -8.43 eV/atom.

The structure belongs to space group I4/mmm (No. 139); the cell edges are 4.198, 4.198 and 10.843 Å and the angles 90.00°, 90.00° and 90.00°. The asymmetric unit holds La at (0.000, 0.000, 0.000), Os at (0.000, 0.000, 0.393) and Rh at (0.000, 0.500, 0.250).

***

(18)
Computed, not measured: LaOsRh2 after structural relaxation at the PBE-GGA level of DFT.

As for the size of the total moment: 0.00 μB per cell. The energy above the lowest structure with this stoichiometry is 236.2 meV/atom. For the energy, the calculation gives -7.46 eV/atom.

The structure belongs to space group I-42d (No. 122); the cell edges are 4.784, 4.784 and 16.529 Å and the angles 90.00°, 90.00° and 90.00°. The asymmetric unit holds La at (0.000, 0.000, 0.000), Os at (0.000, 0.000, 0.500) and Rh at (0.102, 0.250, 0.625).

***

(19)
Computed, not measured: LaOsRh2 after structural relaxation at the PBE-GGA level of DFT.

As for the size of the total moment: 0.00 μB per cell. The energy above the lowest structure with this stoichiometry is 1.4 meV/atom. For the energy, the calculation gives -7.69 eV/atom.

The structure belongs to space group Pm (No. 6); the cell edges are 2.905, 4.556 and 5.456 Å and the angles 90.00°, 99.05° and 90.00°. The asymmetric unit holds La at (0.000, 0.000, 0.000), Os at (0.824, 0.500, 0.377), Rh at (0.411, 0.000, 0.489) and Rh at (0.455, 0.500, 0.793).

***

(20)
Computed, not measured: LaOsRh2 after structural relaxation at the PBE-GGA level of DFT.

As for the size of the total moment: 0.00 μB per cell. The energy above the lowest structure with this stoichiometry is 23.5 meV/atom. For the energy, the calculation gives -7.67 eV/atom.

The structure belongs to space group Cm (No. 8); the cell edges are 9.485, 2.940 and 5.281 Å and the angles 90.00°, 100.91° and 90.00°. The asymmetric unit holds La at (0.000, 0.000, 0.000), Os at (0.242, 0.000, 0.657), Rh at (0.007, 0.500, 0.522) and Rh at (0.263, 0.500, 0.255).

***

(21)
Computed, not measured: LaOsRh2 after structural relaxation at the PBE-GGA level of DFT.

As for the size of the total moment: 10.70 μB per cell. The energy above the lowest structure with this stoichiometry is 197.0 meV/atom. For the energy, the calculation gives -7.50 eV/atom.

The structure belongs to space group Fm-3m (No. 225); the cell edges are 6.640, 6.640 and 6.640 Å and the angles 90.00°, 90.00° and 90.00°. The asymmetric unit holds La at (0.000, 0.000, 0.000), Os at (0.000, 0.000, 0.500) and Rh at (0.250, 0.250, 0.250).

***

(22)
Computed, not measured: La2SbOsRh after structural relaxation at the PBE-GGA level of DFT.

As for the formation energy (no corrections): -0.13 eV per atom. As for the size of the total moment: 0.00 μB per cell. For the energy, the calculation gives -6.64 eV/atom.

The structure belongs to space group P4/mmm (No. 123); the cell edges are 5.600, 5.600 and 4.702 Å and the angles 90.00°, 90.00° and 90.00°. The asymmetric unit holds La at (0.000, 0.500, 0.000), Sb at (0.000, 0.000, 0.500), Os at (0.500, 0.500, 0.000) and Rh at (0.500, 0.500, 0.500).

***

(23)
Computed, not measured: LaThOsRh after structural relaxation at the PBE-GGA level of DFT.

As for the size of the total moment: 0.00 μB per cell. For the energy, the calculation gives -8.09 eV/atom.

The structure belongs to space group F-43m (No. 216); the cell edges are 7.149, 7.149 and 7.149 Å and the angles 90.00°, 90.00° and 90.00°. The asymmetric unit holds La at (0.000, 0.000, 0.000), Th at (0.000, 0.000, 0.500), Os at (0.250, 0.250, 0.750) and Rh at (0.250, 0.250, 0.250).

***

(24)
Computed, not measured: LaZn2OsRh after structural relaxation at the PBE-GGA level of DFT.

As for the size of the total moment: 1.97 μB per cell. For the energy, the calculation gives -4.55 eV/atom.

The structure belongs to space group P4/mmm (No. 123); the cell edges are 4.739, 4.739 and 5.245 Å and the angles 90.00°, 90.00° and 90.00°. The asymmetric unit holds La at (0.000, 0.000, 0.000), Zn at (0.000, 0.500, 0.500), Os at (0.500, 0.500, 0.000) and Rh at (0.000, 0.000, 0.500).

***

(25)
Computed, not measured: La2ZnOsRh after structural relaxation at the PBE-GGA level of DFT.

As for the size of the total moment: 0.00 μB per cell. For the energy, the calculation gives -5.81 eV/atom.

The structure belongs to space group P4/mmm (No. 123); the cell edges are 5.596, 5.596 and 4.716 Å and the angles 90.00°, 90.00° and 90.00°. The asymmetric unit holds La at (0.000, 0.500, 0.000), Zn at (0.000, 0.000, 0.500), Os at (0.500, 0.500, 0.000) and Rh at (0.500, 0.500, 0.500).

***

(26)
Computed, not measured: LaZr2OsRh after structural relaxation at the PBE-GGA level of DFT.

As for the size of the total moment: 0.00 μB per cell. For the energy, the calculation gives -6.40 eV/atom.

The structure belongs to space group P4/mmm (No. 123); the cell edges are 5.041, 5.041 and 4.695 Å and the angles 90.00°, 90.00° and 90.00°. The asymmetric unit holds La at (0.000, 0.000, 0.000), Zr at (0.000, 0.500, 0.000), Os at (0.000, 0.000, 0.500) and Rh at (0.500, 0.500, 0.500).

***

(27)
Computed, not measured: LaOsRu3 after structural relaxation at the PBE-GGA level of DFT.

As for the size of the total moment: 0.00 μB per cell. For the energy, the calculation gives -8.06 eV/atom.

The structure belongs to space group Pm-3m (No. 221); the cell edges are 4.742, 4.742 and 4.742 Å and the angles 90.00°, 90.00° and 90.00°. The asymmetric unit holds La at (0.000, 0.000, 0.000), Os at (0.500, 0.500, 0.500) and Ru at (0.000, 0.500, 0.500).